## Ba3TiFe2O9 (PBE+U)

Data for a relaxed Ba3TiFe2O9 crystal.

a b c (Å): 5.770 5.770 14.116
angles (deg): 90.00 90.00 120.00
Fractional positions:
O 0.168 0.832 0.916
O 0.481 0.519 0.745
O 0.341 0.171 0.081
O 0.171 0.341 0.581
O 0.832 0.168 0.416
O 0.039 0.519 0.745
O 0.829 0.171 0.081
O 0.832 0.665 0.416
O 0.665 0.832 0.916
O 0.171 0.829 0.581
O 0.335 0.168 0.416
O 0.168 0.335 0.916
O 0.519 0.039 0.245
O 0.961 0.481 0.245
O 0.481 0.961 0.745
O 0.519 0.481 0.245
O 0.659 0.829 0.581
O 0.829 0.659 0.081
Ba 0.000 0.000 0.749
Ba 0.667 0.333 0.597
Ba 0.000 0.000 0.249
Ba 0.333 0.667 0.097
Ba 0.667 0.333 0.916
Ba 0.333 0.667 0.416
Ti 0.667 0.333 0.352
Ti 0.333 0.667 0.852
Fe 0.667 0.333 0.158
Fe 0.000 0.000 0.002
Fe 0.000 0.000 0.502
Fe 0.333 0.667 0.658

Values from the calculation:
**Total magnetization**: 16.058 μB/cell
**Distance to the lowest polymorph of the same formula**: 0.0 meV per atom
**Calculated total energy**: -207.13 eV per cell
**Symmetry**: P6_3mc (186)